(1)
Material: LaSbS2Br2
Method: DFT, GGA-PBE
State: relaxed

Unit cell a=8.7802 b=9.3893 c=18.1691 alpha=90.00 beta=103.79 gamma=90.00
Fractional positions:
La: 0.1145 0.1315 0.2374
La: 0.1145 0.3685 0.7374
La: 0.3777 0.6261 0.2552
La: 0.3777 0.8739 0.7552
La: 0.6223 0.1261 0.2448
La: 0.6223 0.3739 0.7448
La: 0.8855 0.6315 0.2626
La: 0.8855 0.8685 0.7626
Sb: 0.2216 0.6612 0.9366
Sb: 0.2216 0.8388 0.4366
Sb: 0.2282 0.0409 0.9476
Sb: 0.2282 0.4591 0.4476
Sb: 0.7718 0.5409 0.5524
Sb: 0.7718 0.9591 0.0524
Sb: 0.7784 0.1612 0.5634
Sb: 0.7784 0.3388 0.0634
S: 0.0207 0.6494 0.4415
S: 0.0207 0.8506 0.9415
S: 0.1583 0.6702 0.7990
S: 0.1583 0.8298 0.2990
S: 0.1624 0.0659 0.8095
S: 0.1624 0.4341 0.3095
S: 0.4264 0.6495 0.4421
S: 0.4264 0.8505 0.9421
S: 0.5736 0.1495 0.0579
S: 0.5736 0.3505 0.5579
S: 0.8376 0.5659 0.6905
S: 0.8376 0.9341 0.1905
S: 0.8417 0.1702 0.7010
S: 0.8417 0.3298 0.2010
S: 0.9793 0.1494 0.0585
S: 0.9793 0.3506 0.5585
Br: 0.0569 0.6212 0.1323
Br: 0.0569 0.8788 0.6323
Br: 0.3401 0.5603 0.6628
Br: 0.3401 0.9397 0.1628
Br: 0.3441 0.1786 0.6711
Br: 0.3441 0.3214 0.1711
Br: 0.4204 0.1233 0.3633
Br: 0.4204 0.3767 0.8633
Br: 0.5796 0.6233 0.1367
Br: 0.5796 0.8767 0.6367
Br: 0.6559 0.6786 0.8289
Br: 0.6559 0.8214 0.3289
Br: 0.6599 0.0603 0.8372
Br: 0.6599 0.4397 0.3372
Br: 0.9431 0.1212 0.3677
Br: 0.9431 0.3788 0.8677

Results
* ΔE_f (raw): -1314 meV per atom
* space group: P2_1/c, No. 14
* E: -4.755 eV/atom

(2)
Material: Ac2NdI
Method: DFT, GGA-PBE
State: relaxed

Unit cell a=3.9290 b=3.9290 c=10.3920 alpha=90.00 beta=90.00 gamma=90.00
Fractional positions:
Ac: 0.0000 0.0000 0.2455
Ac: 0.0000 0.0000 0.7545
Nd: 0.5000 0.5000 0.5000
I: 0.5000 0.5000 0.0000

Results
* ΔE_f (raw): -395 meV per atom
* excess energy over the best structure of this formula in the dataset: 0 meV/atom
* space group: P4/mmm, No. 123
* E: -4.028 eV/atom

(3)
Material: LiH3Pd
Method: DFT, GGA-PBE
State: relaxed

Unit cell a=4.8203 b=4.8714 c=4.9533 alpha=109.57 beta=110.97 gamma=106.27
Fractional positions:
Li: 0.0000 0.0000 0.0000
Li: 0.3432 0.2251 0.6840
H: 0.0476 0.3994 0.3684
H: 0.2894 0.8652 0.2594
H: 0.4323 0.3581 0.1238
H: 0.5269 0.9070 0.8676
H: 0.6967 0.4986 0.6387
H: 0.8120 0.9688 0.5009
Pd: 0.4511 0.6664 0.4631
Pd: 0.6492 0.1617 0.2881

Results
* space group: P1, No. 1
* E: -3.663 eV/atom

(4)
Material: SiSbOs2
Method: DFT, GGA-PBE
State: relaxed

Unit cell a=5.2409 b=5.2409 c=5.2409 alpha=138.12 beta=138.12 gamma=60.72
Fractional positions:
Si: 0.0000 0.0000 0.0000
Sb: 0.7500 0.2500 0.5000
Os: 0.2500 0.7500 0.5000
Os: 0.5000 0.5000 0.0000

Results
* ΔE_f (raw): 643 meV per atom
* excess energy over the best structure of this formula in the dataset: 475 meV/atom
* space group: I-4m2, No. 119
* E: -7.358 eV/atom

(5)
Material: Nd5TlAg4
Method: DFT, GGA-PBE
State: relaxed

Unit cell a=3.7505 b=3.7505 c=19.2926 alpha=90.00 beta=90.00 gamma=90.00
Fractional positions:
Nd: 0.0000 0.0000 0.0000
Nd: 0.0000 0.0000 0.1959
Nd: 0.0000 0.0000 0.3917
Nd: 0.0000 0.0000 0.6083
Nd: 0.0000 0.0000 0.8041
Tl: 0.5000 0.5000 0.5000
Ag: 0.5000 0.5000 0.0975
Ag: 0.5000 0.5000 0.2923
Ag: 0.5000 0.5000 0.7077
Ag: 0.5000 0.5000 0.9025

Results
* space group: P4/mmm, No. 123
* E: -4.042 eV/atom
* formation energy: -281.0 meV per atom

(6)
Material: SrSb2SeI
Method: DFT, GGA-PBE
State: relaxed

Unit cell a=6.2925 b=6.2925 c=5.9045 alpha=90.00 beta=90.00 gamma=90.00
Fractional positions:
Sr: 0.0000 0.0000 0.0000
Sb: 0.0000 0.5000 0.0000
Sb: 0.5000 0.0000 0.0000
Se: 0.5000 0.5000 0.5000
I: 0.0000 0.0000 0.5000

Results
* ΔE_f (raw): 627 meV per atom
* excess energy over the best structure of this formula in the dataset: 738 meV/atom
* space group: P4/mmm, No. 123
* E: -2.365 eV/atom

(7)
Material: CrSiPt2
Method: DFT, GGA-PBE
State: relaxed

Unit cell a=2.9446 b=2.9446 c=6.8388 alpha=90.00 beta=90.00 gamma=90.00
Fractional positions:
Cr: 0.0000 0.0000 0.0000
Si: 0.0000 0.0000 0.5000
Pt: 0.5000 0.5000 0.2826
Pt: 0.5000 0.5000 0.7174

Results
* ΔE_f (raw): -249 meV per atom
* space group: P4/mmm, No. 123
* E: -7.031 eV/atom

(8)
Material: MnNiAu
Method: DFT, GGA-PBE
State: relaxed

Unit cell a=3.8392 b=3.9351 c=6.0413 alpha=90.00 beta=108.59 gamma=90.00
Fractional positions:
Mn: 0.1030 0.2500 0.2068
Mn: 0.8970 0.7500 0.7932
Ni: 0.2505 0.7500 0.5012
Ni: 0.7495 0.2500 0.4988
Au: 0.4116 0.2500 0.8219
Au: 0.5884 0.7500 0.1781

Results
* excess energy over the best structure of this formula in the dataset: 0 meV/atom
* space group: P2_1/m, No. 11
* E: -6.114 eV/atom
* formation energy: -37.8 meV per atom